[1]
A PBEsol-optimized structure of ZrMnAs3. Source: the Alexandria database, functional meta-GGA SCAN.

Structure (POSCAR):
```
ZrMnAs3
1.0
5.082 0.000 0.000
0.000 5.082 0.000
0.000 0.000 5.082
As Mn Zr
3 1 1
Direct
0.000 0.500 0.000 As
0.000 0.000 0.500 As
0.500 0.000 0.000 As
0.500 0.500 0.500 Mn
0.000 0.000 0.000 Zr
```

Results
Its volume is 131.2 Å³/cell. The value obtained for the density of states at the Fermi level is 3.76 states/eV per cell. The value obtained for the energy relative to the elements is 0.320 eV/atom. As for the total DFT energy (no corrections): -21.58 eV/atom. The calculation puts the magnetization at 4.53 μB/f.u. The theoretical density is 4.7 g/cm³.

---

[2]
A PBEsol-optimized structure of RuPt2. Source: the Alexandria database, functional meta-GGA SCAN.

Structure (POSCAR):
```
RuPt2
1.0
2.715 0.000 0.000
0.000 2.715 0.000
-1.357 -1.357 5.860
Ru Pt
1 2
Direct
0.000 0.000 0.000 Ru
0.661 0.661 0.321 Pt
0.339 0.339 0.679 Pt
```

Results
Its volume is 43.2 Å³/cell. The value obtained for the density of states at the Fermi level is 3.34 states/eV per cell. The value obtained for the energy relative to the elements is -0.012 eV/atom. As for the total DFT energy (no corrections): -58.42 eV/atom. The calculation puts the magnetization at 0.06 μB/f.u. The theoretical density is 18.9 g/cm³.